Entry from Alexandria via LeMat-Bulk: IrPbSe2 after structural relaxation (PBE).

Values from the calculation:
**Space-group type**: No. 166
**Formation energy (no corrections)**: -0.242 eV per atom
**Density**: 8.86 g cm⁻³

abc: 8.9360 8.9360 8.9360
angles: 24.09 24.09 24.09
Closest atoms and distances in Å follow each position.
Element x y z (fractional)
Pb1 0.0000 0.0000 0.0000  2 Se 3.07
Ir1 0.5000 0.5000 0.5000  6 Se 2.50
Se1 0.8821 0.8821 0.8821  3 Ir 2.50
Se2 0.1179 0.1179 0.1179  3 Ir 2.50